# CaGaPb (GGA-PBE, relaxed)
# Size of the total moment (μB/f.u.): 0.00
# Total energy (eV per atom): -3.287
data_CaGaPb
_cell_length_a 11.7074
_cell_length_b 4.6476
_cell_length_c 7.5272
_cell_angle_alpha 90.00
_cell_angle_beta 128.05
_cell_angle_gamma 90.00
_symmetry_space_group_name_H-M 'C 1 2/m 1'
_symmetry_Int_Tables_number 12
_symmetry_space_group_name_Hall '-C 2y'
loop_
_atom_site_label
_atom_site_type_symbol
_atom_site_fract_x
_atom_site_fract_y
_atom_site_fract_z
Ca1 Ca 0.0654 0.0000 0.3182
Ga1 Ga 0.1424 0.5000 0.6555
Pb1 Pb 0.1746 0.5000 0.0925